Compound: ZnIn2Ru
Source: Alexandria via LeMat-Bulk
Functional: GGA-PBE
Structure: relaxed

The structure in CIF format:
```
data_ZnIn2Ru
_space_group_name_H-M_alt 'P m m m'
_space_group_IT_number 47
_cell_length_a 3.4804
_cell_length_b 3.5524
_cell_length_c 5.8313
_cell_angle_alpha 90.00
_cell_angle_beta 90.00
_cell_angle_gamma 90.00
loop_
_space_group_symop_operation_xyz
'x,y,z'
'-x,-y,-z'
'-x,-y,z'
'x,y,-z'
'x,-y,-z'
'-x,y,z'
'-x,y,-z'
'x,-y,z'
loop_
_atom_site_label
_atom_site_fract_x
_atom_site_fract_y
_atom_site_fract_z
_atom_site_occupancy
Zn1 0.0000 0.0000 0.0000 1
In1 0.5000 0.5000 0.2547 1
Ru1 0.0000 0.0000 0.5000 1
```

Summary:
Total magnetic moment in Bohr magnetons per cell: 0.00
Crystal system: orthorhombic
Formation energy from the elements in eV/atom: 0.06
DFT total energy in eV/cell: -15.79